Material: EuHoTlZn
Method: DFT, PBE-GGA
State: optimized geometry

Values from the calculation:
The value obtained for the calculated formation energy is -0.305 eV/atom.

a = 5.3383 Å, b = 5.3383 Å, c = 5.3383 Å
α = 60.00°, β = 60.00°, γ = 60.00°
Site moments in Bohr magnetons follow the coordinates.
Fractional coordinates of all 4 atoms:
Eu: 0.7500 0.7500 0.7500  6.84
Tl: 0.5000 0.5000 0.5000  -0.01
Zn: 0.0000 0.0000 0.0000  0.02
Ho: 0.2500 0.2500 0.2500  0.08

Material: NaPmNdIn
Method: DFT, PBE-GGA
State: optimized geometry

Values from the calculation:
The value obtained for the calculated formation energy is -0.158 eV/atom.

a = 5.5332 Å, b = 5.5332 Å, c = 5.5332 Å
α = 60.00°, β = 60.00°, γ = 60.00°
Fractional coordinates of all 4 atoms:
Na: 0.0000 0.0000 0.0000
In: 0.5000 0.5000 0.5000
Nd: 0.2500 0.2500 0.2500
Pm: 0.7500 0.7500 0.7500

Material: TlTcRh2
Method: DFT, PBE-GGA
State: optimized geometry

Values from the calculation:
The value obtained for the calculated formation energy is 0.176 eV/atom. For the distance to the lowest polymorph of the same formula, the calculation gives 0.085 eV per atom.

a = 2.8789 Å, b = 3.8296 Å, c = 5.8737 Å
α = 90.00°, β = 90.00°, γ = 90.00°
Fractional coordinates of all 4 atoms:
Tc: 0.5000 0.5000 0.2500
Rh: 0.0000 0.0000 0.4735
Rh: 0.0000 0.0000 0.0265
Tl: 0.5000 0.5000 0.7500

| no. | magnetic moment (μB/atom) | DOS(E_F) (states/eV/cell) | density (g/cm3) |
| --- | --- | --- | --- |
| 1 | 1.8088 | 6.39 | 9.1 |
| 2 | 0.0001 | 5.33 | 5.9 |
| 3 | 0.0001 | 3.98 | 13.0 |